1.
VASP calculation (GGA-PBEsol) on Al2SiP after structural relaxation.

Cell lengths 4.409, 4.409, 4.409 Å; angles 60.00, 60.00, 60.00 degrees
Atoms (fractional coordinates):
Al1 0.250 0.250 0.250
Al2 0.750 0.750 0.750
Si1 0.000 0.000 0.000
P1 0.500 0.500 0.500

Computed properties:
- M_tot: 0.00 μB/cell
- Raw total energy: -4.76 eV/atom

2.
VASP calculation (GGA-PBEsol) on Al2SiP after structural relaxation.

Cell lengths 4.185, 4.185, 3.438 Å; angles 90.00, 90.00, 90.00 degrees
Atoms (fractional coordinates):
Al1 0.000 0.500 0.000
Al2 0.500 0.000 0.000
Si1 0.000 0.000 0.500
P1 0.500 0.500 0.500

Computed properties:
- M_tot: 0.00 μB/cell
- Raw total energy: -4.79 eV/atom

3.
VASP calculation (GGA-PBEsol) on AlSiP3 after structural relaxation.

Cell lengths 5.856, 9.823, 6.070 Å; angles 90.00, 90.00, 90.00 degrees
Atoms (fractional coordinates):
Al1 0.000 0.000 0.000
Al2 0.000 0.500 0.000
Al3 0.500 0.000 0.500
Al4 0.500 0.500 0.500
Si1 0.000 0.250 0.438
Si2 0.000 0.750 0.562
Si3 0.500 0.250 0.062
Si4 0.500 0.750 0.938
P1 0.111 0.058 0.609
P2 0.111 0.250 0.084
P3 0.111 0.442 0.609
P4 0.389 0.558 0.109
P5 0.389 0.750 0.584
P6 0.389 0.942 0.109
P7 0.611 0.058 0.891
P8 0.611 0.250 0.416
P9 0.611 0.442 0.891
P10 0.889 0.558 0.391
P11 0.889 0.750 0.916
P12 0.889 0.942 0.391

Computed properties:
- M_tot: 0.00 μB/cell
- Raw total energy: -5.77 eV/atom

4.
VASP calculation (GGA-PBEsol) on AlSiP2 after structural relaxation.

Cell lengths 3.024, 3.024, 6.206 Å; angles 90.00, 90.00, 90.00 degrees
Atoms (fractional coordinates):
Al1 0.000 0.000 0.000
Si1 0.000 0.000 0.500
P1 0.500 0.500 0.260
P2 0.500 0.500 0.740

Computed properties:
- M_tot: 0.00 μB/cell
- Raw total energy: -5.13 eV/atom

5.
VASP calculation (GGA-PBEsol) on AlSiP2 after structural relaxation.

Cell lengths 6.505, 6.505, 6.505 Å; angles 131.22, 131.22, 71.47 degrees
Atoms (fractional coordinates):
Al1 0.000 0.000 0.000
Al2 0.750 0.250 0.500
Si1 0.250 0.750 0.500
Si2 0.500 0.500 0.000
P1 0.137 0.625 0.012
P2 0.375 0.387 0.512
P3 0.613 0.125 0.988
P4 0.875 0.863 0.488

Computed properties:
- M_tot: 0.00 μB/cell
- Raw total energy: -5.52 eV/atom

6.
VASP calculation (GGA-PBEsol) on AlSi2P after structural relaxation.

Cell lengths 5.554, 5.554, 2.600 Å; angles 99.77, 99.77, 51.22 degrees
Atoms (fractional coordinates):
Al1 0.000 0.000 0.000
Si1 0.250 0.250 0.545
Si2 0.498 0.498 0.522
P1 0.744 0.744 0.669

Computed properties:
- M_tot: 0.00 μB/cell
- Raw total energy: -5.25 eV/atom

7.
VASP calculation (GGA-PBEsol) on SrAlP4 after structural relaxation.

Cell lengths 5.399, 5.399, 5.399 Å; angles 60.00, 60.00, 60.00 degrees
Atoms (fractional coordinates):
Sr1 0.000 0.000 0.000
Al1 0.250 0.250 0.250
P1 0.166 0.611 0.611
P2 0.611 0.166 0.611
P3 0.611 0.611 0.166
P4 0.611 0.611 0.611

Computed properties:
- Formation energy: -0.014 eV/atom
- M_tot: 0.00 μB/cell
- Raw total energy: -4.86 eV/atom

8.
VASP calculation (GGA-PBEsol) on SrAlP2 after structural relaxation.

Cell lengths 3.190, 3.840, 7.587 Å; angles 90.00, 90.00, 90.00 degrees
Atoms (fractional coordinates):
Sr1 0.000 0.000 0.000
Al1 0.500 0.500 0.500
P1 0.000 0.000 0.603
P2 0.500 0.500 0.193

Computed properties:
- Formation energy: -0.285 eV/atom
- M_tot: 0.00 μB/cell
- Raw total energy: -4.66 eV/atom